1.
# ZnCd2 (PBE, relaxed)
data_ZnCd2
_symmetry_space_group_name_H-M 'C 1 2/m 1'
_symmetry_Int_Tables_number 12
_symmetry_space_group_name_Hall '-C 2y'
_cell_length_a 13.2379
_cell_length_b 2.9692
_cell_length_c 6.6795
_cell_angle_alpha 90.00
_cell_angle_beta 109.81
_cell_angle_gamma 90.00
loop_
_atom_site_label
_atom_site_fract_x
_atom_site_fract_y
_atom_site_fract_z
_atom_site_occupancy
Zn1 0.1652 0.0000 0.3505 1
Cd1 0.0000 0.5000 0.0000 1
Cd2 0.0000 0.5000 0.5000 1
Cd3 0.1823 0.0000 0.8119 1
# crystal system	monoclinic
# ΔE_f	5.2	kJ per mole of atoms

---

2.
# Zn3Cd (PBE, relaxed)
data_Zn3Cd
_symmetry_space_group_name_H-M 'I m m 2'
_symmetry_Int_Tables_number 44
_symmetry_space_group_name_Hall 'I 2 -2'
_cell_length_a 2.7814
_cell_length_b 10.4377
_cell_length_c 4.7713
_cell_angle_alpha 90.00
_cell_angle_beta 90.00
_cell_angle_gamma 90.00
loop_
_atom_site_label
_atom_site_fract_x
_atom_site_fract_y
_atom_site_fract_z
_atom_site_occupancy
Zn1 0.0000 0.0000 0.0000 1
Zn2 0.0000 0.2580 0.6525 1
Cd1 0.0000 0.5000 0.0032 1
# crystal system	orthorhombic
# ΔE_f	7.5	kJ per mole of atoms

---

3.
# Zn3Cd (PBE, relaxed)
data_Zn3Cd
_symmetry_space_group_name_H-M 'R -3 m'
_symmetry_Int_Tables_number 166
_symmetry_space_group_name_Hall '-R 3 2"'
_cell_length_a 8.8463
_cell_length_b 8.8463
_cell_length_c 3.1435
_cell_angle_alpha 90.00
_cell_angle_beta 90.00
_cell_angle_gamma 120.00
loop_
_atom_site_label
_atom_site_fract_x
_atom_site_fract_y
_atom_site_fract_z
_atom_site_occupancy
Zn1 0.0000 0.5000 0.0000 1
Cd1 0.0000 0.0000 0.0000 1
# crystal system	trigonal
# ΔE_f	13.1	kJ per mole of atoms

---

4.
# Zn5Cd (PBE, relaxed)
data_Zn5Cd
_symmetry_space_group_name_H-M 'F -4 3 m'
_symmetry_Int_Tables_number 216
_symmetry_space_group_name_Hall 'F -4 2 3'
_cell_length_a 7.3615
_cell_length_b 7.3615
_cell_length_c 7.3615
_cell_angle_alpha 90.00
_cell_angle_beta 90.00
_cell_angle_gamma 90.00
loop_
_atom_site_label
_atom_site_fract_x
_atom_site_fract_y
_atom_site_fract_z
_atom_site_occupancy
Zn1 0.0000 0.0000 0.0000 1
Zn2 0.1252 0.1252 0.3748 1
Cd1 0.2500 0.2500 0.7500 1
# crystal system	cubic
# energy above the most stable polymorph in this dataset	32.1	meV/atom
# ΔE_f	7.5	kJ per mole of atoms

---

5.
# Zn3Cd4 (PBE, relaxed)
data_Zn3Cd4
_symmetry_space_group_name_H-M 'I 4/m m m'
_symmetry_Int_Tables_number 139
_symmetry_space_group_name_Hall '-I 4 2'
_cell_length_a 3.7637
_cell_length_b 3.7637
_cell_length_c 19.7966
_cell_angle_alpha 90.00
_cell_angle_beta 90.00
_cell_angle_gamma 90.00
loop_
_atom_site_label
_atom_site_fract_x
_atom_site_fract_y
_atom_site_fract_z
_atom_site_occupancy
Zn1 0.0000 0.0000 0.0000 1
Zn2 0.0000 0.0000 0.2837 1
Cd1 0.0000 0.0000 0.1467 1
Cd2 0.0000 0.0000 0.4279 1
# crystal system	tetragonal
# ΔE_f	7.1	kJ per mole of atoms

---

6.
# Zn3Cd (PBE, relaxed)
data_Zn3Cd
_symmetry_space_group_name_H-M 'R -3 m'
_symmetry_Int_Tables_number 166
_symmetry_space_group_name_Hall '-R 3 2"'
_cell_length_a 3.0367
_cell_length_b 3.0367
_cell_length_c 26.3037
_cell_angle_alpha 90.00
_cell_angle_beta 90.00
_cell_angle_gamma 120.00
loop_
_atom_site_label
_atom_site_fract_x
_atom_site_fract_y
_atom_site_fract_z
_atom_site_occupancy
Zn1 0.0000 0.0000 0.0000 1
Zn2 0.0000 0.0000 0.2581 1
Cd1 0.0000 0.0000 0.5000 1
# crystal system	trigonal
# ΔE_f	7.7	kJ per mole of atoms

---

7.
# Zn3Cd5 (PBE, relaxed)
data_Zn3Cd5
_symmetry_space_group_name_H-M 'C m c m'
_symmetry_Int_Tables_number 63
_symmetry_space_group_name_Hall '-C 2c 2'
_cell_length_a 14.4860
_cell_length_b 7.9945
_cell_length_c 5.6503
_cell_angle_alpha 90.00
_cell_angle_beta 90.00
_cell_angle_gamma 90.00
loop_
_atom_site_label
_atom_site_fract_x
_atom_site_fract_y
_atom_site_fract_z
_atom_site_occupancy
Zn1 0.0000 0.0982 0.2500 1
Zn2 0.2040 0.2983 0.7500 1
Cd1 0.0000 0.2705 0.7500 1
Cd2 0.1137 0.3881 0.2500 1
Cd3 0.1645 0.0000 0.0000 1
# crystal system	orthorhombic
# ΔE_f	9.7	kJ per mole of atoms

---

8.
# ZnCd2 (PBE, relaxed)
data_ZnCd2
_symmetry_space_group_name_H-M 'P 63/m m c'
_symmetry_Int_Tables_number 194
_symmetry_space_group_name_Hall '-P 6c 2c'
_cell_length_a 3.2348
_cell_length_b 3.2348
_cell_length_c 13.5603
_cell_angle_alpha 90.00
_cell_angle_beta 90.00
_cell_angle_gamma 120.00
loop_
_atom_site_label
_atom_site_fract_x
_atom_site_fract_y
_atom_site_fract_z
_atom_site_occupancy
Zn1 0.0000 0.0000 0.2500 1
Cd1 0.3333 0.6667 0.0910 1
# crystal system	hexagonal
# ΔE_f	6.6	kJ per mole of atoms